(1)
Density functional theory data (PBE) for a relaxed structure of GdLu2Zn.

Computed properties:
Polymorph energy (0 for the lowest one) ... 0.120 eV/atom
Formation enthalpy at 0 K ... -0.157 eV/f.u.
Calculated density ... 9.22 g cm⁻³
V ... 103.1 Å³/cell

Cell lengths 4.6921, 4.6921, 4.6841 Å; angles 90.00, 90.00, 90.00 degrees
Last column: nearest neighbours and their distance in Å.
Space group P4/mmm (No. 123)
Inequivalent atoms, fractional coordinates:
Gd: 0.0000 0.0000 0.0000 (multiplicity 1)  8 Lu 3.31, 4 Zn 3.32
Lu: 0.0000 0.5000 0.5000 (multiplicity 2)  4 Gd 3.31, 4 Zn 3.31, 4 Lu 3.32
Zn: 0.5000 0.5000 0.0000 (multiplicity 1)  8 Lu 3.31, 4 Gd 3.32

=====

(2)
Density functional theory data (PBE) for a relaxed structure of GdLuZr.

Computed properties:
Polymorph energy (0 for the lowest one) ... 0.000 eV/atom
Formation enthalpy at 0 K ... 0.215 eV/f.u.
Calculated density ... 8.41 g cm⁻³
V ... 167.3 Å³/cell

Cell lengths 3.3755, 3.3755, 14.6816 Å; angles 90.00, 90.00, 90.00 degrees
Last column: nearest neighbours and their distance in Å.
Space group I4mm (No. 107)
Inequivalent atoms, fractional coordinates:
Gd: 0.0000 0.0000 0.0000 (multiplicity 2)  4 Zr 3.36, 4 Gd 3.38, 4 Lu 3.65
Lu: 0.0000 0.0000 0.3120 (multiplicity 2)  4 Zr 3.26, 4 Lu 3.38
Zr: 0.0000 0.0000 0.6613 (multiplicity 2)  4 Lu 3.26, 4 Gd 3.36, 4 Zr 3.38

=====

(3)
Density functional theory data (PBE) for a relaxed structure of GdLuZr2.

Computed properties:
Polymorph energy (0 for the lowest one) ... 0.000 eV/atom
Formation enthalpy at 0 K ... 0.411 eV/f.u.
Calculated density ... 8.17 g cm⁻³
V ... 104.7 Å³/cell

Cell lengths 4.6937, 4.6937, 4.7503 Å; angles 90.00, 90.00, 90.00 degrees
Last column: nearest neighbours and their distance in Å.
Space group P4/mmm (No. 123)
Inequivalent atoms, fractional coordinates:
Gd: 0.0000 0.0000 0.0000 (multiplicity 1)  4 Lu 3.32, 8 Zr 3.34
Lu: 0.5000 0.5000 0.0000 (multiplicity 1)  4 Gd 3.32, 8 Zr 3.34
Zr: 0.0000 0.5000 0.5000 (multiplicity 2)  4 Zr 3.32, 4 Gd 3.34, 4 Lu 3.34

=====

(4)
Density functional theory data (PBE) for a relaxed structure of GdLuZr.

Computed properties:
Polymorph energy (0 for the lowest one) ... 0.012 eV/atom
Formation enthalpy at 0 K ... 0.251 eV/f.u.
Calculated density ... 8.45 g cm⁻³
V ... 83.2 Å³/cell

Cell lengths 3.3909, 3.3909, 8.3579 Å; angles 90.00, 90.00, 120.00 degrees
Last column: nearest neighbours and their distance in Å.
Space group P3m1 (No. 156)
Inequivalent atoms, fractional coordinates:
Gd: 0.0000 0.0000 0.0000 (multiplicity 1)  3 Zr 3.32, 6 Gd 3.39, 3 Lu 3.64
Lu: 0.6667 0.3333 0.3671 (multiplicity 1)  3 Zr 3.27, 6 Lu 3.39, 3 Gd 3.64
Zr: 0.3333 0.6667 0.6799 (multiplicity 1)  3 Lu 3.27, 3 Gd 3.32, 6 Zr 3.39

=====

(5)
Density functional theory data (PBE) for a relaxed structure of GdLuZr2.

Computed properties:
Polymorph energy (0 for the lowest one) ... 0.005 eV/atom
Formation enthalpy at 0 K ... 0.431 eV/f.u.
Calculated density ... 8.17 g cm⁻³
V ... 104.6 Å³/cell

Cell lengths 3.3021, 3.3021, 9.5942 Å; angles 90.00, 90.00, 90.00 degrees
Last column: nearest neighbours and their distance in Å.
Space group P4/mmm (No. 123)
Inequivalent atoms, fractional coordinates:
Gd: 0.0000 0.0000 0.0000 (multiplicity 1)  4 Gd 3.30, 8 Zr 3.38
Lu: 0.0000 0.0000 0.5000 (multiplicity 1)  4 Lu 3.30, 8 Zr 3.32
Zr: 0.5000 0.5000 0.2542 (multiplicity 2)  4 Zr 3.30, 4 Lu 3.32, 4 Gd 3.38

=====

(6)
Density functional theory data (PBE) for a relaxed structure of GdMg6.

Computed properties:
Formation enthalpy at 0 K ... 4.798 eV/f.u.
Calculated density ... 2.16 g cm⁻³
V ... 465.8 Å³/cell

Cell lengths 7.7520, 7.7520, 7.7520 Å; angles 90.00, 90.00, 90.00 degrees
Last column: nearest neighbours and their distance in Å.
Space group Im-3m (No. 229)
Inequivalent atoms, fractional coordinates:
Gd: 0.0000 0.0000 0.0000 (multiplicity 2)  24 Mg 4.33
Mg: 0.0000 0.2500 0.5000 (multiplicity 12)  4 Mg 2.74

=====

(7)
Density functional theory data (PBE) for a relaxed structure of GdMg.

Computed properties:
Formation enthalpy at 0 K ... -0.010 eV/f.u.
Calculated density ... 5.31 g cm⁻³
V ... 113.6 Å³/cell

Cell lengths 3.5249, 4.6142, 6.9826 Å; angles 90.00, 90.18, 90.00 degrees
Last column: nearest neighbours and their distance in Å.
Space group P2_1/m (No. 11)
Inequivalent atoms, fractional coordinates:
Gd: 0.2491 0.2500 0.3634 (multiplicity 2)  6 Mg 3.36-3.61, 6 Gd 3.47-3.52
Mg: 0.2511 0.2500 0.8802 (multiplicity 2)  6 Mg 3.34-3.52, 6 Gd 3.36-3.61

=====

(8)
Density functional theory data (PBE) for a relaxed structure of GdMg2.

Computed properties:
Formation enthalpy at 0 K ... -0.192 eV/f.u.
Calculated density ... 4.32 g cm⁻³
V ... 158.3 Å³/cell

Cell lengths 3.4936, 3.4936, 12.9704 Å; angles 90.00, 90.00, 90.00 degrees
Last column: nearest neighbours and their distance in Å.
Space group I4/mmm (No. 139)
Inequivalent atoms, fractional coordinates:
Gd: 0.0000 0.0000 0.0000 (multiplicity 2)  8 Mg 3.38, 4 Gd 3.49
Mg: 0.0000 0.0000 0.3223 (multiplicity 4)  4 Mg 3.10, 4 Gd 3.38

=====

(9)
Density functional theory data (PBE) for a relaxed structure of GdMg.

Computed properties:
Formation enthalpy at 0 K ... -0.209 eV/f.u.
Calculated density ... 5.39 g cm⁻³
V ... 56.0 Å³/cell

Cell lengths 3.8251, 3.8251, 3.8251 Å; angles 90.00, 90.00, 90.00 degrees
Last column: nearest neighbours and their distance in Å.
Space group Pm-3m (No. 221)
Inequivalent atoms, fractional coordinates:
Gd: 0.0000 0.0000 0.0000 (multiplicity 1)  8 Mg 3.31
Mg: 0.5000 0.5000 0.5000 (multiplicity 1)  8 Gd 3.31

=====

(10)
Density functional theory data (PBE) for a relaxed structure of Gd5Mg.

Computed properties:
Formation enthalpy at 0 K ... 0.011 eV/f.u.
Calculated density ... 7.18 g cm⁻³
V ... 374.9 Å³/cell

Cell lengths 5.6195, 17.6828, 3.7726 Å; angles 90.00, 90.00, 90.00 degrees
Last column: nearest neighbours and their distance in Å.
Space group Cmmm (No. 65)
Inequivalent atoms, fractional coordinates:
Gd: 0.0000 0.0000 0.0000 (multiplicity 2)  4 Mg 3.38, 6 Gd 3.75-3.77
Gd: 0.0000 0.1832 0.5000 (multiplicity 4)  12 Gd 3.45-3.77
Gd: 0.0000 0.3534 0.0000 (multiplicity 4)  2 Mg 3.21, 6 Gd 3.45-3.55
Mg: 0.0000 0.5000 0.5000 (multiplicity 2)  8 Gd 3.21-3.38

=====

(11)
Density functional theory data (PBE) for a relaxed structure of GdMg5.

Computed properties:
Formation enthalpy at 0 K ... -0.243 eV/f.u.
Calculated density ... 3.10 g cm⁻³
V ... 298.4 Å³/cell

Cell lengths 4.5681, 13.5208, 4.8315 Å; angles 90.00, 90.00, 90.00 degrees
Last column: nearest neighbours and their distance in Å.
Space group Cmmm (No. 65)
Inequivalent atoms, fractional coordinates:
Gd: 0.0000 0.0000 0.0000 (multiplicity 2)  12 Mg 3.29-3.32
Mg: 0.0000 0.1657 0.5000 (multiplicity 4)  10 Mg 3.20-3.33, 2 Gd 3.30
Mg: 0.0000 0.3248 0.0000 (multiplicity 4)  10 Mg 3.05-3.38, 2 Gd 3.29
Mg: 0.0000 0.5000 0.5000 (multiplicity 2)  8 Mg 3.20-3.38, 4 Gd 3.32

=====

(12)
Density functional theory data (PBE) for a relaxed structure of GdMg2.

Computed properties:
Formation enthalpy at 0 K ... -0.284 eV/f.u.
Calculated density ... 4.33 g cm⁻³
V ... 631.4 Å³/cell

Cell lengths 8.5790, 8.5790, 8.5790 Å; angles 90.00, 90.00, 90.00 degrees
Last column: nearest neighbours and their distance in Å.
Space group Fd-3m (No. 227, origin choice 2)
Inequivalent atoms, fractional coordinates:
Gd: 0.1250 0.1250 0.1250 (multiplicity 8)  12 Mg 3.56, 4 Gd 3.71
Mg: 0.0000 0.0000 0.5000 (multiplicity 16)  6 Mg 3.03